This record from the Alexandria database describes crystalline SrLi4In15 at its relaxed geometry. The functional is PBE.

electronic total energy: -53.5 eV per cell
M_tot: 0.00 μB per cell
N(E_F): 7.93 states/eV per cell
space group: No. 123
energy of formation from the pure elements: -0.1557 eV per atom

Cell lengths 4.6025, 4.6025, 23.4359 Å; angles 90.00, 90.00, 90.00 degrees
Positions (direct):
In 0.0000 0.5000 0.6965
In 0.5000 0.0000 0.1110
In 0.5000 0.0000 0.3035
In 0.5000 0.5000 0.5972
In 0.0000 0.5000 0.1110
In 0.5000 0.5000 0.0000
In 0.5000 0.0000 0.6965
In 0.0000 0.5000 0.8890
In 0.5000 0.0000 0.8890
In 0.5000 0.5000 0.4028
In 0.5000 0.5000 0.2053
In 0.0000 0.5000 0.3035
In 0.0000 0.5000 0.5000
In 0.5000 0.5000 0.7947
In 0.5000 0.0000 0.5000
Li 0.0000 0.0000 0.5984
Li 0.0000 0.0000 0.2045
Li 0.0000 0.0000 0.4016
Li 0.0000 0.0000 0.7955
Sr 0.0000 0.0000 0.0000